This record from the Alexandria database describes a relaxed structure of SiAg2Rh. The functional is PBE-GGA.

## Properties
ΔE_f (raw) = 171 meV/atom

POSCAR file:
```
SiAg2Rh
1.0
-1.5251 -0.9073 4.5689
4.8547 0.0202 -0.6747
0.0715 2.9106 0.6019
Ag Rh Si
2 1 1
Direct
0.0000 0.0000 0.0000
0.5000 0.5000 0.0000
0.5000 0.0000 0.5000
0.0000 0.5000 0.5000
```



This record from the Alexandria database describes a relaxed structure of Er2Cd3Cu. The functional is PBE-GGA.

## Properties
formation energy from the elements = -0.248 eV/atom

POSCAR file:
```
Er2Cd3Cu
1.0
-0.6189 -1.9513 -2.7052
-2.8225 -2.8222 2.6814
-6.5806 4.7538 -1.9234
Er Cd Cu
2 3 1
Direct
0.0000 0.5000 0.0249
0.0000 0.0000 0.4838
0.5000 0.0000 0.8322
0.5000 0.0000 0.1731
0.5000 0.5000 0.6550
0.5000 0.5000 0.3309
```



This record from the Alexandria database describes a relaxed structure of Cd3SnN. The functional is PBE-GGA.

## Properties
excess energy over the best structure of this formula in the dataset = 0 meV/atom
ΔE_f (raw) = 460 meV/atom

POSCAR file:
```
Cd3SnN
1.0
-3.8386 0.9631 2.5524
2.3838 -0.9584 3.9467
1.3266 4.5090 0.2937
N Sn Cd
1 1 3
Direct
0.0000 0.0000 0.0000
0.5000 0.5000 0.5000
0.0000 0.5000 0.0000
0.0000 0.0000 0.5000
0.5000 0.0000 0.0000
```



This record from the Alexandria database describes a relaxed structure of LaNdHo. The functional is PBE-GGA.

## Properties
excess energy over the best structure of this formula in the dataset = 9 meV/atom
formation energy from the elements = 0.029 eV/atom

POSCAR file:
```
LaNdHo
1.0
3.6695 0.0000 0.0000
0.0000 3.6695 0.0000
-1.8347 -1.8347 7.7035
Nd Ho La
1 1 1
Direct
0.0033 0.0033 0.0066
0.6653 0.6653 0.3306
0.3314 0.3314 0.6628
```



This record from the Alexandria database describes a relaxed structure of TbTlSn. The functional is PBE-GGA.

## Properties
excess energy over the best structure of this formula in the dataset = 0 meV/atom
formation energy from the elements = -0.440 eV/atom

POSCAR file:
```
TbTlSn
1.0
4.2831 0.0000 0.0000
0.0000 4.5272 -1.1789
0.0000 -0.1931 8.5404
Tb Tl Sn
2 2 2
Direct
0.2500 0.0897 0.1794
0.7500 0.9103 0.8206
0.2500 0.7407 0.4814
0.7500 0.2593 0.5186
0.2500 0.4329 0.8658
0.7500 0.5671 0.1342
```



| no. | E_tot (eV for the cell shown) |
| --- | --- |
| 1 | -17.8 |
| 2 | -17.5 |
| 3 | -12.8 |
| 4 | -14.2 |
| 5 | -24.6 |